Entry 1:
The following is a DFT calculation (GGA-PBE) of an optimized crystal structure of ThAlGaRh3.

Cell: 6.038 5.829 6.929 Å, 114.88 90.00 90.00°
Atoms (fractional coordinates):
Al  0.250  0.372  0.744
Al  0.750  0.628  0.256
Ga  0.250  0.910  0.820
Ga  0.750  0.090  0.180
Th  0.750  0.328  0.655
Th  0.250  0.672  0.345
Rh  0.750  0.826  0.652
Rh  0.000  0.736  0.000
Rh  0.250  0.174  0.348
Rh  0.500  0.736  0.000
Rh  0.000  0.264  0.000
Rh  0.500  0.264  0.000

Results
E_tot: -6.65 eV/atom
Magnetic moment: 0.00 μB/cell
Fermi-level density of states: 0.624 states/eV/atom



Entry 2:
The following is a DFT calculation (GGA-PBE) of an optimized crystal structure of Sm4DyMg.

Cell: 3.628 3.628 14.463 Å, 90.00 90.00 90.00°
Atoms (fractional coordinates):
Sm  0.500  0.500  0.826
Sm  0.000  0.000  0.652
Sm  0.500  0.500  0.174
Sm  0.000  0.000  0.348
Mg  0.500  0.500  0.500
Dy  0.000  0.000  0.000

Results
Magnetic moment: 0.00 μB/cell
Fermi-level density of states: 1.220 states/eV/atom
Energy relative to the lowest polymorph listed for this composition: 0.000 eV per atom